VASP calculation (PBE-GGA) on an optimized crystal structure of Sm4TeC2.

```
Sm4TeC2
1.0
1.915 1.106 13.824
-1.915 1.106 13.824
0.000 -2.212 13.824
Sm Te C
4 1 2
Direct
0.120 0.120 0.120
0.280 0.280 0.280
0.720 0.720 0.720
0.880 0.880 0.880
0.000 0.000 0.000
0.423 0.423 0.423
0.577 0.577 0.577
```

Computed properties:
Final energy ... -6.2693 eV/atom
ρ ... 7.12 g/cm³
Magnetic moment ... 0.00 μB per cell

=====

VASP calculation (PBE-GGA) on an optimized crystal structure of BaZr3.

```
BaZr3
1.0
3.298 0.000 0.000
0.000 3.298 0.000
0.000 0.000 10.542
Ba Zr
1 3
Direct
0.000 0.000 0.000
0.000 0.000 0.500
0.500 0.500 0.301
0.500 0.500 0.699
```

Computed properties:
ρ ... 5.95 g/cm³
ΔE to the lowest computed polymorph ... 0.0000 eV per atom
Energy relative to the elements ... 316 meV per atom
Magnetic moment ... 0.00 μB per cell

=====

VASP calculation (PBE-GGA) on an optimized crystal structure of InAgP2.

```
InAgP2
1.0
2.000 -2.055 0.000
2.000 2.055 0.000
0.000 0.000 9.363
In Ag P
1 1 2
Direct
0.000 0.000 0.000
0.000 0.000 0.500
0.500 0.500 0.283
0.500 0.500 0.717
```

Computed properties:
ρ ... 6.14 g/cm³
Energy relative to the elements ... 492 meV per atom
Magnetic moment ... 0.00 μB per cell

=====

VASP calculation (PBE-GGA) on an optimized crystal structure of AcPuSeCl.

```
AcPuSeCl
1.0
0.000 3.723 3.723
3.723 0.000 3.723
3.723 3.723 0.000
Ac Pu Se Cl
1 1 1 1
Direct
0.000 0.000 0.000
0.500 0.500 0.500
0.750 0.750 0.750
0.250 0.250 0.250
```

Computed properties:
Final energy ... -7.1699 eV/atom
ρ ... 9.42 g/cm³
Magnetic moment ... 7.03 μB per cell

=====

VASP calculation (PBE-GGA) on an optimized crystal structure of Sr2HRhPb.

```
Sr2HRhPb
1.0
5.572 0.000 0.000
0.000 5.572 0.000
0.000 0.000 3.781
Sr H Rh Pb
2 1 1 1
Direct
0.000 0.500 0.000
0.500 0.000 0.000
0.000 0.000 0.000
0.000 0.000 0.500
0.500 0.500 0.500
```

Computed properties:
ρ ... 6.88 g/cm³
ΔE to the lowest computed polymorph ... 0.0000 eV per atom
Magnetic moment ... 0.00 μB per cell

=====

VASP calculation (PBE-GGA) on an optimized crystal structure of Rb2NpI2Br4.

```
Rb2NpI2Br4
1.0
-4.006 4.006 5.923
4.006 -4.006 5.923
4.006 4.006 -5.923
Rb Np I Br
2 1 2 4
Direct
0.250 0.750 0.500
0.750 0.250 0.500
0.000 0.000 0.000
0.255 0.255 0.000
0.745 0.745 0.000
0.243 0.243 0.487
0.243 0.757 0.000
0.757 0.243 0.000
0.757 0.757 0.513
```

Computed properties:
Final energy ... -4.1259 eV/atom
ρ ... 4.29 g/cm³
Magnetic moment ... 3.00 μB per cell

=====

VASP calculation (PBE-GGA) on an optimized crystal structure of InCuOs2.

```
InCuOs2
1.0
2.860 0.000 0.000
0.000 2.860 0.000
0.000 0.000 7.583
In Cu Os
1 1 2
Direct
0.000 0.000 0.000
0.500 0.500 0.739
0.000 0.000 0.498
0.500 0.500 0.281
```

Computed properties:
ρ ... 14.96 g/cm³
Energy relative to the elements ... 260 meV per atom
Magnetic moment ... 0.00 μB per cell

=====

VASP calculation (PBE-GGA) on an optimized crystal structure of V4Pd5Pt4.

```
V4Pd5Pt4
1.0
-4.950 4.950 1.971
4.950 -4.950 1.971
4.950 4.950 -1.971
V Pd Pt
4 5 4
Direct
0.149 0.763 0.913
0.237 0.149 0.386
0.763 0.851 0.614
0.851 0.237 0.087
0.000 0.000 0.000
0.310 0.547 0.857
0.453 0.310 0.764
0.547 0.690 0.236
0.690 0.453 0.143
0.086 0.376 0.462
0.376 0.914 0.290
0.624 0.086 0.710
0.914 0.624 0.538
```

Computed properties:
ρ ... 13.04 g/cm³
Energy relative to the elements ... -347 meV per atom
Magnetic moment ... 4.90 μB per cell

=====

Among the records above, which one has the lowest ρ?
Rb2NpI2Br4

=====

Number 2 is which compound?
BaZr3